<one>
Density functional theory data (GGA-PBE) for a relaxed Ta3Nb3W crystal.

```
data_Ta3Nb3W
_cell_length_a 5.263
_cell_length_b 5.263
_cell_length_c 5.263
_cell_angle_alpha 102.12
_cell_angle_beta 102.12
_cell_angle_gamma 102.12
_symmetry_space_group_name_H-M 'P 1'
_symmetry_Int_Tables_number 1
loop_
_symmetry_equiv_pos_as_xyz
'x,y,z'
loop_
_atom_site_label
_atom_site_fract_x
_atom_site_fract_y
_atom_site_fract_z
Ta1 0.218 0.218 0.565
Ta2 0.218 0.565 0.218
Ta3 0.565 0.218 0.218
Nb1 0.214 0.798 0.798
Nb2 0.798 0.214 0.798
Nb3 0.798 0.798 0.214
W1 0.675 0.675 0.675
```

## Properties
M_tot, μB per atom: 0.000
Volume, Å³ per cell: 134.4

***

<two>
Density functional theory data (GGA-PBE) for a relaxed Ta3Nb3W crystal.

```
data_Ta3Nb3W
_cell_length_a 10.917
_cell_length_b 4.626
_cell_length_c 10.465
_cell_angle_alpha 90.00
_cell_angle_beta 90.00
_cell_angle_gamma 90.00
_symmetry_space_group_name_H-M 'P 1'
_symmetry_Int_Tables_number 1
loop_
_symmetry_equiv_pos_as_xyz
'x,y,z'
loop_
_atom_site_label
_atom_site_fract_x
_atom_site_fract_y
_atom_site_fract_z
Ta1 0.087 0.250 0.189
Ta2 0.174 0.750 0.803
Ta3 0.194 0.750 0.507
Ta4 0.306 0.250 0.007
Ta5 0.326 0.250 0.303
Ta6 0.413 0.750 0.689
Ta7 0.587 0.250 0.311
Ta8 0.674 0.750 0.697
Ta9 0.694 0.750 0.993
Ta10 0.806 0.250 0.493
Ta11 0.826 0.250 0.197
Ta12 0.913 0.750 0.811
Nb1 0.055 0.250 0.937
Nb2 0.060 0.250 0.430
Nb3 0.206 0.750 0.108
Nb4 0.294 0.250 0.608
Nb5 0.440 0.750 0.930
Nb6 0.445 0.750 0.437
Nb7 0.555 0.250 0.563
Nb8 0.560 0.250 0.070
Nb9 0.706 0.750 0.392
Nb10 0.794 0.250 0.892
Nb11 0.940 0.750 0.570
Nb12 0.945 0.750 0.063
W1 0.051 0.250 0.686
W2 0.449 0.750 0.186
W3 0.551 0.250 0.814
W4 0.949 0.750 0.314
```

## Properties
M_tot, μB per atom: 0.000
Volume, Å³ per cell: 528.5

***

Winner for stability: <two>

***

<one>
Density functional theory data (GGA-PBE) for a relaxed Ta3Nb3W2 crystal.

```
data_Ta3Nb3W2
_cell_length_a 4.610
_cell_length_b 4.640
_cell_length_c 6.573
_cell_angle_alpha 90.00
_cell_angle_beta 90.00
_cell_angle_gamma 90.00
_symmetry_space_group_name_H-M 'P 1'
_symmetry_Int_Tables_number 1
loop_
_symmetry_equiv_pos_as_xyz
'x,y,z'
loop_
_atom_site_label
_atom_site_fract_x
_atom_site_fract_y
_atom_site_fract_z
Ta1 0.000 0.000 0.000
Ta2 0.000 0.000 0.500
Ta3 0.500 0.500 0.000
Nb1 0.000 0.500 0.251
Nb2 0.000 0.500 0.749
Nb3 0.500 0.500 0.500
W1 0.500 0.000 0.250
W2 0.500 0.000 0.750
```

## Properties
M_tot, μB per atom: 0.000
Volume, Å³ per cell: 140.6

***

<two>
Density functional theory data (GGA-PBE) for a relaxed Ta3Nb3W2 crystal.

```
data_Ta3Nb3W2
_cell_length_a 5.502
_cell_length_b 5.502
_cell_length_c 13.017
_cell_angle_alpha 90.00
_cell_angle_beta 90.00
_cell_angle_gamma 131.90
_symmetry_space_group_name_H-M 'P 1'
_symmetry_Int_Tables_number 1
loop_
_symmetry_equiv_pos_as_xyz
'x,y,z'
loop_
_atom_site_label
_atom_site_fract_x
_atom_site_fract_y
_atom_site_fract_z
Ta1 0.076 0.924 0.593
Ta2 0.076 0.924 0.907
Ta3 0.254 0.746 0.750
Ta4 0.746 0.254 0.250
Ta5 0.924 0.076 0.093
Ta6 0.924 0.076 0.407
Nb1 0.362 0.638 0.532
Nb2 0.362 0.638 0.968
Nb3 0.461 0.539 0.250
Nb4 0.539 0.461 0.750
Nb5 0.638 0.362 0.032
Nb6 0.638 0.362 0.468
W1 0.193 0.807 0.141
W2 0.193 0.807 0.359
W3 0.807 0.193 0.641
W4 0.807 0.193 0.859
```

## Properties
M_tot, μB per atom: 0.000
Volume, Å³ per cell: 293.3

***

Winner for stability: <one>

***

<one>
Density functional theory data (GGA-PBE) for a relaxed TaNb4W4 crystal.

```
data_TaNb4W4
_cell_length_a 8.112
_cell_length_b 8.112
_cell_length_c 5.342
_cell_angle_alpha 90.00
_cell_angle_beta 90.00
_cell_angle_gamma 90.00
_symmetry_space_group_name_H-M 'P 1'
_symmetry_Int_Tables_number 1
loop_
_symmetry_equiv_pos_as_xyz
'x,y,z'
loop_
_atom_site_label
_atom_site_fract_x
_atom_site_fract_y
_atom_site_fract_z
Ta1 0.250 0.750 0.250
Ta2 0.750 0.250 0.750
Nb1 0.076 0.250 0.641
Nb2 0.250 0.076 0.141
Nb3 0.250 0.424 0.141
Nb4 0.424 0.250 0.641
Nb5 0.576 0.750 0.359
Nb6 0.750 0.576 0.859
Nb7 0.750 0.924 0.859
Nb8 0.924 0.750 0.359
W1 0.044 0.750 0.844
W2 0.250 0.544 0.656
W3 0.250 0.956 0.656
W4 0.456 0.750 0.844
W5 0.544 0.250 0.156
W6 0.750 0.044 0.344
W7 0.750 0.456 0.344
W8 0.956 0.250 0.156
```

## Properties
M_tot, μB per atom: 0.000
Volume, Å³ per cell: 351.5

***

<two>
Density functional theory data (GGA-PBE) for a relaxed TaNb4W4 crystal.

```
data_TaNb4W4
_cell_length_a 7.098
_cell_length_b 7.098
_cell_length_c 7.098
_cell_angle_alpha 92.98
_cell_angle_beta 92.98
_cell_angle_gamma 153.64
_symmetry_space_group_name_H-M 'P 1'
_symmetry_Int_Tables_number 1
loop_
_symmetry_equiv_pos_as_xyz
'x,y,z'
loop_
_atom_site_label
_atom_site_fract_x
_atom_site_fract_y
_atom_site_fract_z
Ta1 0.000 0.000 0.000
Nb1 0.000 0.328 0.328
Nb2 0.000 0.672 0.672
Nb3 0.328 0.000 0.328
Nb4 0.672 0.000 0.672
W1 0.332 0.332 0.663
W2 0.332 0.668 0.000
W3 0.668 0.332 0.000
W4 0.668 0.668 0.337
```

## Properties
M_tot, μB per atom: 0.000
Volume, Å³ per cell: 154.6

***

Winner for stability: <two>

***

<one>
Density functional theory data (GGA-PBE) for a relaxed Y2TaNb crystal.

```
data_Y2TaNb
_cell_length_a 7.215
_cell_length_b 7.215
_cell_length_c 7.215
_cell_angle_alpha 90.00
_cell_angle_beta 90.00
_cell_angle_gamma 90.00
_symmetry_space_group_name_H-M 'P 1'
_symmetry_Int_Tables_number 1
loop_
_symmetry_equiv_pos_as_xyz
'x,y,z'
loop_
_atom_site_label
_atom_site_fract_x
_atom_site_fract_y
_atom_site_fract_z
Y1 0.250 0.250 0.250
Y2 0.250 0.250 0.750
Y3 0.250 0.750 0.250
Y4 0.250 0.750 0.750
Y5 0.750 0.250 0.250
Y6 0.750 0.250 0.750
Y7 0.750 0.750 0.250
Y8 0.750 0.750 0.750
Ta1 0.000 0.000 0.000
Ta2 0.000 0.500 0.500
Ta3 0.500 0.000 0.500
Ta4 0.500 0.500 0.000
Nb1 0.000 0.000 0.500
Nb2 0.000 0.500 0.000
Nb3 0.500 0.000 0.000
Nb4 0.500 0.500 0.500
```

## Properties
M_tot, μB per atom: 0.000
Volume, Å³ per cell: 375.7

***

<two>
Density functional theory data (GGA-PBE) for a relaxed Y2TaNb crystal.

```
data_Y2TaNb
_cell_length_a 8.060
_cell_length_b 8.060
_cell_length_c 6.017
_cell_angle_alpha 90.00
_cell_angle_beta 90.00
_cell_angle_gamma 90.00
_symmetry_space_group_name_H-M 'P 1'
_symmetry_Int_Tables_number 1
loop_
_symmetry_equiv_pos_as_xyz
'x,y,z'
loop_
_atom_site_label
_atom_site_fract_x
_atom_site_fract_y
_atom_site_fract_z
Y1 0.247 0.750 0.125
Y2 0.250 0.247 0.875
Y3 0.250 0.253 0.375
Y4 0.253 0.750 0.625
Y5 0.747 0.250 0.625
Y6 0.750 0.747 0.375
Y7 0.750 0.753 0.875
Y8 0.753 0.250 0.125
Ta1 0.000 0.000 0.500
Ta2 0.000 0.500 0.750
Ta3 0.500 0.000 0.250
Ta4 0.500 0.500 0.000
Nb1 0.000 0.000 0.000
Nb2 0.000 0.500 0.250
Nb3 0.500 0.000 0.750
Nb4 0.500 0.500 0.500
```

## Properties
M_tot, μB per atom: 0.000
Volume, Å³ per cell: 390.9

***

Winner for stability: <one>

***

<one>
Density functional theory data (GGA-PBE) for a relaxed YTa3Nb crystal.

```
data_YTa3Nb
_cell_length_a 4.944
_cell_length_b 4.944
_cell_length_c 4.944
_cell_angle_alpha 90.00
_cell_angle_beta 90.00
_cell_angle_gamma 90.00
_symmetry_space_group_name_H-M 'P 1'
_symmetry_Int_Tables_number 1
loop_
_symmetry_equiv_pos_as_xyz
'x,y,z'
loop_
_atom_site_label
_atom_site_fract_x
_atom_site_fract_y
_atom_site_fract_z
Y1 0.000 0.000 0.000
Ta1 0.000 0.500 0.500
Ta2 0.500 0.000 0.500
Ta3 0.500 0.500 0.000
Nb1 0.500 0.500 0.500
```

## Properties
M_tot, μB per atom: 0.000
Volume, Å³ per cell: 120.8

***

<two>
Density functional theory data (GGA-PBE) for a relaxed YTa3Nb crystal.

```
data_YTa3Nb
_cell_length_a 4.854
_cell_length_b 4.854
_cell_length_c 4.854
_cell_angle_alpha 90.00
_cell_angle_beta 90.00
_cell_angle_gamma 90.00
_symmetry_space_group_name_H-M 'P 1'
_symmetry_Int_Tables_number 1
loop_
_symmetry_equiv_pos_as_xyz
'x,y,z'
loop_
_atom_site_label
_atom_site_fract_x
_atom_site_fract_y
_atom_site_fract_z
Y1 0.000 0.000 0.000
Ta1 0.000 0.000 0.500
Ta2 0.000 0.500 0.000
Ta3 0.500 0.000 0.000
Nb1 0.500 0.500 0.500
```

## Properties
M_tot, μB per atom: 0.000
Volume, Å³ per cell: 114.4

***

Winner for stability: <one>